The following is a DFT calculation (PBE-GGA) of an optimized crystal structure of Li2SmCdPd4.

Uncorrected energy in eV per atom: -4.3073
E_form in meV/atom: -528

Cell lengths 4.5516, 4.5516, 23.3524 Å; angles 90.00, 90.00, 120.00 degrees
Space group R-3m (No. 166, hexagonal axes)
One atom of each set of equivalent atoms:
Li: 0.0000 0.0000 0.2413 [6 per cell]
Sm: 0.0000 0.0000 0.0000 [3 per cell]
Cd: 0.0000 0.0000 0.5000 [3 per cell]
Pd: 0.0000 0.0000 0.1237 [6 per cell]
Pd: 0.0000 0.0000 0.3836 [6 per cell]


The following is a DFT calculation (PBE-GGA) of an optimized crystal structure of Sr2LiCd6Pd.

Uncorrected energy in eV per atom: -1.8090
E_form in meV/atom: -213

Cell lengths 7.131, 7.251, 7.262 Å; angles 90.20, 119.33, 119.34 degrees
Space group P-1 (No. 2)
One atom of each set of equivalent atoms:
Sr: 0.000 0.209 0.292 [2 per cell]
Li: 0.500 0.500 0.000 [1 per cell]
Cd: 0.012 0.293 0.794 [2 per cell]
Cd: 0.421 0.705 0.205 [2 per cell]
Cd: 0.499 0.257 0.242 [2 per cell]
Pd: 0.500 0.000 0.500 [1 per cell]


The following is a DFT calculation (PBE-GGA) of an optimized crystal structure of SrLiCd2Pd2.

Uncorrected energy in eV per atom: -2.9135
E_form in meV/atom: -278

Cell lengths 5.362, 5.362, 10.649 Å; angles 90.00, 90.00, 90.00 degrees
Space group I4/mmm (No. 139)
One atom of each set of equivalent atoms:
Sr: 0.000 0.000 0.000 [2 per cell]
Li: 0.000 0.000 0.500 [2 per cell]
Cd: 0.000 0.500 0.250 [4 per cell]
Pd: 0.000 0.000 0.277 [4 per cell]


The following is a DFT calculation (PBE-GGA) of an optimized crystal structure of SrLiCd3Pd.

Uncorrected energy in eV per atom: -2.1850
E_form in meV/atom: -263

Cell lengths 6.937, 13.597, 6.028 Å; angles 90.00, 90.00, 90.00 degrees
Space group Cmcm (No. 63)
One atom of each set of equivalent atoms:
Sr: 0.000 0.211 0.250 [4 per cell]
Li: 0.000 0.437 0.250 [4 per cell]
Cd: 0.000 0.351 0.750 [4 per cell]
Cd: 0.209 0.000 0.000 [8 per cell]
Pd: 0.000 0.146 0.750 [4 per cell]


The following is a DFT calculation (PBE-GGA) of an optimized crystal structure of Sr2LiCdPd2.

Uncorrected energy in eV per atom: -3.2556
E_form in meV/atom: -493

Cell lengths 6.101, 15.673, 6.283 Å; angles 90.00, 90.00, 90.00 degrees
Space group Ibam (No. 72)
One atom of each set of equivalent atoms:
Sr: 0.245 0.170 0.000 [8 per cell]
Li: 0.000 0.500 0.250 [4 per cell]
Cd: 0.000 0.000 0.250 [4 per cell]
Pd: 0.241 0.385 0.000 [8 per cell]


The following is a DFT calculation (PBE-GGA) of an optimized crystal structure of Sr2Li12CdPd3.

Uncorrected energy in eV per atom: -2.3427
E_form in meV/atom: 36

Cell lengths 8.4673, 8.4673, 21.5926 Å; angles 90.00, 90.00, 120.00 degrees
Space group R-3m (No. 166, hexagonal axes)
One atom of each set of equivalent atoms:
Sr: 0.0000 0.0000 0.0856 [6 per cell]
Li: 0.0651 0.5325 0.8850 [18 per cell]
Li: 0.1080 0.5540 0.2855 [18 per cell]
Cd: 0.0000 0.0000 0.5000 [3 per cell]
Pd: 0.0000 0.5000 0.0000 [9 per cell]


The following is a DFT calculation (PBE-GGA) of an optimized crystal structure of Sr2Li12Cd3Pd.

Uncorrected energy in eV per atom: -1.9041
E_form in meV/atom: 0

Cell lengths 6.9906, 6.9906, 30.4636 Å; angles 90.00, 90.00, 120.00 degrees
Space group R-3m (No. 166, hexagonal axes)
One atom of each set of equivalent atoms:
Sr: 0.0000 0.0000 0.1525 [6 per cell]
Li: 0.0637 0.5318 0.0981 [18 per cell]
Li: 0.0705 0.5352 0.6189 [18 per cell]
Cd: 0.0000 0.5000 0.0000 [9 per cell]
Pd: 0.0000 0.0000 0.5000 [3 per cell]


The following is a DFT calculation (PBE-GGA) of an optimized crystal structure of LiTbCdPd.

Uncorrected energy in eV per atom: -3.6252
E_form in meV/atom: -462

Cell lengths 6.830, 6.830, 6.830 Å; angles 90.00, 90.00, 90.00 degrees
Space group F-43m (No. 216)
One atom of each set of equivalent atoms:
Li: 0.000 0.000 0.000 [4 per cell]
Tb: 0.250 0.250 0.750 [4 per cell]
Cd: 0.250 0.250 0.250 [4 per cell]
Pd: 0.000 0.000 0.500 [4 per cell]


The following is a DFT calculation (PBE-GGA) of an optimized crystal structure of LiTbCd2Pd4.

Uncorrected energy in eV per atom: -4.2164
E_form in meV/atom: -573

Cell lengths 4.6600, 4.6600, 22.7996 Å; angles 90.00, 90.00, 120.00 degrees
Space group R-3m (No. 166, hexagonal axes)
One atom of each set of equivalent atoms:
Li: 0.0000 0.0000 0.0000 [3 per cell]
Tb: 0.0000 0.0000 0.5000 [3 per cell]
Cd: 0.0000 0.0000 0.2529 [6 per cell]
Pd: 0.0000 0.0000 0.1169 [6 per cell]
Pd: 0.0000 0.0000 0.3742 [6 per cell]


The following is a DFT calculation (PBE-GGA) of an optimized crystal structure of Li2Tb2CdPd5.

Uncorrected energy in eV per atom: -4.6336
E_form in meV/atom: -637

Cell lengths 9.582, 9.582, 3.759 Å; angles 90.00, 90.00, 90.00 degrees
Space group P4/mbm (No. 127)
One atom of each set of equivalent atoms:
Li: 0.118 0.382 0.000 [4 per cell]
Tb: 0.180 0.680 0.000 [4 per cell]
Cd: 0.000 0.000 0.000 [2 per cell]
Pd: 0.000 0.500 0.500 [2 per cell]
Pd: 0.069 0.211 0.500 [8 per cell]


The following is a DFT calculation (PBE-GGA) of an optimized crystal structure of Li2TbCdPd4.

Uncorrected energy in eV per atom: -4.3314
E_form in meV/atom: -563

Cell lengths 4.5675, 4.5675, 22.6741 Å; angles 90.00, 90.00, 120.00 degrees
Space group R-3m (No. 166, hexagonal axes)
One atom of each set of equivalent atoms:
Li: 0.0000 0.0000 0.2443 [6 per cell]
Tb: 0.0000 0.0000 0.0000 [3 per cell]
Cd: 0.0000 0.0000 0.5000 [3 per cell]
Pd: 0.0000 0.0000 0.1246 [6 per cell]
Pd: 0.0000 0.0000 0.3792 [6 per cell]


The following is a DFT calculation (PBE-GGA) of an optimized crystal structure of LiThCdPd.

Uncorrected energy in eV per atom: -4.2217
E_form in meV/atom: -361

Cell lengths 6.934, 6.934, 6.934 Å; angles 90.00, 90.00, 90.00 degrees
Space group F-43m (No. 216)
One atom of each set of equivalent atoms:
Li: 0.000 0.000 0.000 [4 per cell]
Th: 0.250 0.250 0.750 [4 per cell]
Cd: 0.250 0.250 0.250 [4 per cell]
Pd: 0.000 0.000 0.500 [4 per cell]


The following is a DFT calculation (PBE-GGA) of an optimized crystal structure of LiTiCdPd2.

Uncorrected energy in eV per atom: -3.8553
E_form in meV/atom: 367

Cell lengths 4.318, 4.318, 4.505 Å; angles 90.00, 90.00, 90.00 degrees
Space group P4/mmm (No. 123)
One atom of each set of equivalent atoms:
Li: 0.000 0.000 0.000 [1 per cell]
Ti: 0.000 0.000 0.500 [1 per cell]
Cd: 0.500 0.500 0.500 [1 per cell]
Pd: 0.000 0.500 0.000 [2 per cell]


The following is a DFT calculation (PBE-GGA) of an optimized crystal structure of Li5TlCd2Pd2.

Uncorrected energy in eV per atom: -2.7282
E_form in meV/atom: -313

Cell lengths 9.453, 9.453, 4.011 Å; angles 90.00, 90.00, 90.00 degrees
Space group P4/mbm (No. 127)
One atom of each set of equivalent atoms:
Li: 0.000 0.500 0.000 [2 per cell]
Li: 0.073 0.210 0.000 [8 per cell]
Tl: 0.000 0.000 0.500 [2 per cell]
Cd: 0.178 0.678 0.500 [4 per cell]
Pd: 0.114 0.386 0.500 [4 per cell]


The following is a DFT calculation (PBE-GGA) of an optimized crystal structure of Li2Tl2CdPd5.

Uncorrected energy in eV per atom: -3.8352
E_form in meV/atom: -291

Cell lengths 9.357, 9.357, 3.857 Å; angles 90.00, 90.00, 90.00 degrees
Space group P4/mbm (No. 127)
One atom of each set of equivalent atoms:
Li: 0.123 0.377 0.000 [4 per cell]
Tl: 0.172 0.672 0.000 [4 per cell]
Cd: 0.000 0.000 0.000 [2 per cell]
Pd: 0.000 0.500 0.500 [2 per cell]
Pd: 0.081 0.202 0.500 [8 per cell]


The following is a DFT calculation (PBE-GGA) of an optimized crystal structure of LiTm2CdPd4.

Uncorrected energy in eV per atom: -4.8106
E_form in meV/atom: -743

Cell lengths 4.7213, 4.7213, 22.9006 Å; angles 90.00, 90.00, 120.00 degrees
Space group R-3m (No. 166, hexagonal axes)
One atom of each set of equivalent atoms:
Li: 0.0000 0.0000 0.0000 [3 per cell]
Tm: 0.0000 0.0000 0.2501 [6 per cell]
Cd: 0.0000 0.0000 0.5000 [3 per cell]
Pd: 0.0000 0.0000 0.1215 [6 per cell]
Pd: 0.0000 0.0000 0.3733 [6 per cell]


The following is a DFT calculation (PBE-GGA) of an optimized crystal structure of LiTmCd2Pd4.

Uncorrected energy in eV per atom: -4.2204
E_form in meV/atom: -597

Cell lengths 4.6394, 4.6394, 22.6094 Å; angles 90.00, 90.00, 120.00 degrees
Space group R-3m (No. 166, hexagonal axes)
One atom of each set of equivalent atoms:
Li: 0.0000 0.0000 0.0000 [3 per cell]
Tm: 0.0000 0.0000 0.5000 [3 per cell]
Cd: 0.0000 0.0000 0.2525 [6 per cell]
Pd: 0.0000 0.0000 0.1206 [6 per cell]
Pd: 0.0000 0.0000 0.3745 [6 per cell]


The following is a DFT calculation (PBE-GGA) of an optimized crystal structure of LiV2CdPd.

Uncorrected energy in eV per atom: -4.4407
E_form in meV/atom: 811

Cell lengths 4.829, 4.829, 5.168 Å; angles 90.00, 90.00, 90.00 degrees
Space group P4/mmm (No. 123)
One atom of each set of equivalent atoms:
Li: 0.000 0.000 0.000 [1 per cell]
V: 0.000 0.500 0.500 [2 per cell]
Cd: 0.500 0.500 0.000 [1 per cell]
Pd: 0.500 0.500 0.500 [1 per cell]


The following is a DFT calculation (PBE-GGA) of an optimized crystal structure of Li2Y2CdPd5.

Uncorrected energy in eV per atom: -4.9960
E_form in meV/atom: -632

Cell lengths 9.601, 9.601, 3.743 Å; angles 90.00, 90.00, 90.00 degrees
Space group P4/mbm (No. 127)
One atom of each set of equivalent atoms:
Li: 0.118 0.382 0.000 [4 per cell]
Y: 0.180 0.680 0.000 [4 per cell]
Cd: 0.000 0.000 0.000 [2 per cell]
Pd: 0.000 0.500 0.500 [2 per cell]
Pd: 0.068 0.211 0.500 [8 per cell]


The following is a DFT calculation (PBE-GGA) of an optimized crystal structure of Li3Zn3CdPd2.

Uncorrected energy in eV per atom: -2.6536
E_form in meV/atom: -335

Cell lengths 7.5475, 7.5475, 2.7967 Å; angles 90.00, 90.00, 120.00 degrees
Space group P-62m (No. 189)
One atom of each set of equivalent atoms:
Li: 0.0000 0.6853 0.0000 [3 per cell]
Zn: 0.0000 0.3796 0.5000 [3 per cell]
Cd: 0.0000 0.0000 0.5000 [1 per cell]
Pd: 0.3333 0.6667 0.0000 [2 per cell]


The following is a DFT calculation (PBE-GGA) of an optimized crystal structure of Li2Zn2CdPd5.

Uncorrected energy in eV per atom: -3.7143
E_form in meV/atom: -389

Cell lengths 9.225, 9.225, 3.883 Å; angles 90.00, 90.00, 90.00 degrees
Space group P4/mbm (No. 127)
One atom of each set of equivalent atoms:
Li: 0.171 0.329 0.000 [4 per cell]
Zn: 0.127 0.627 0.000 [4 per cell]
Cd: 0.000 0.000 0.000 [2 per cell]
Pd: 0.000 0.500 0.500 [2 per cell]
Pd: 0.078 0.798 0.500 [8 per cell]